Record 1
First-principles (PBE-GGA) data for a relaxed InAsRu2 crystal, as listed in the Alexandria database.

Properties
Energy relative to the elements, kcal/mol of atoms: 1.358
Energy above the most stable polymorph in this dataset, eV/atom: 0.115
SG: No. 166
Total DFT energy (no corrections), eV per atom: -6.426
Fermi-level density of states, states/eV/atom: 1.024

Cell lengths 8.1658, 8.1658, 8.1658 Å; angles 21.71, 21.71, 21.71 degrees
With the nearest neighbours (Å) after each atom.
Fractional coordinates of all 4 atoms:
In: 0.0000 0.0000 0.0000  6 Ru 2.85, 6 In 3.08
As: 0.5000 0.5000 0.5000  6 Ru 2.50
Ru: 0.2402 0.2402 0.2402  3 As 2.50
Ru: 0.7598 0.7598 0.7598  3 As 2.50


Record 2
First-principles (PBE-GGA) data for a relaxed InAs2Ru crystal, as listed in the Alexandria database.

Properties
Energy relative to the elements, kcal/mol of atoms: 10.503
SG: No. 216
Total DFT energy (no corrections), eV per atom: -4.873
Fermi-level density of states, states/eV/atom: 0.975

Cell lengths 4.6858, 4.6858, 4.6858 Å; angles 60.00, 60.00, 60.00 degrees
With the nearest neighbours (Å) after each atom.
Fractional coordinates of all 4 atoms:
In: 0.0000 0.0000 0.0000  4 As 2.87, 4 Ru 2.87
As: 0.5000 0.5000 0.5000  4 As 2.87, 4 Ru 2.87
As: 0.7500 0.7500 0.7500  4 In 2.87, 4 As 2.87
Ru: 0.2500 0.2500 0.2500  4 In 2.87, 4 As 2.87


Record 3
First-principles (PBE-GGA) data for a relaxed InAs2Ru crystal, as listed in the Alexandria database.

Properties
Energy relative to the elements, kcal/mol of atoms: 8.822
SG: No. 119
Total DFT energy (no corrections), eV per atom: -4.946
Fermi-level density of states, states/eV/atom: 0.734

Cell lengths 5.0709, 5.0709, 5.0709 Å; angles 131.23, 131.23, 71.44 degrees
With the nearest neighbours (Å) after each atom.
Fractional coordinates of all 4 atoms:
In: 0.0000 0.0000 0.0000  8 As 2.94-2.96, 4 Ru 2.94
As: 0.5000 0.5000 0.0000  4 As 2.94, 4 Ru 2.94, 4 In 2.96
As: 0.7500 0.2500 0.5000  4 As 2.94, 4 In 2.94, 4 Ru 2.96
Ru: 0.2500 0.7500 0.5000  8 As 2.94-2.96, 4 In 2.94


Record 4
First-principles (PBE-GGA) data for a relaxed In2As2Ru crystal, as listed in the Alexandria database.

Properties
Energy relative to the elements, kcal/mol of atoms: 15.627
Energy above the most stable polymorph in this dataset, eV/atom: 0.644
SG: No. 139
Total DFT energy (no corrections), eV per atom: -4.133
Fermi-level density of states, states/eV/atom: 0.890

Cell lengths 8.1890, 8.1890, 8.1890 Å; angles 152.82, 152.82, 38.82 degrees
With the nearest neighbours (Å) after each atom.
Fractional coordinates of all 5 atoms:
In: 0.2500 0.7500 0.5000  4 In 2.72
In: 0.7500 0.2500 0.5000  4 In 2.72
As: 0.0777 0.0777 0.0000  1 As 2.40
As: 0.9223 0.9223 0.0000  1 As 2.40
Ru: 0.5000 0.5000 0.0000  8 As 2.97


Record 5
First-principles (PBE-GGA) data for a relaxed InAsRu crystal, as listed in the Alexandria database.

Properties
Energy relative to the elements, kcal/mol of atoms: -1.486
SG: No. 156
Total DFT energy (no corrections), eV per atom: -5.619
Fermi-level density of states, states/eV/atom: 0.732

Cell lengths 3.2609, 3.2609, 6.1600 Å; angles 90.00, 90.00, 120.00 degrees
With the nearest neighbours (Å) after each atom.
Fractional coordinates of all 3 atoms:
In: 0.0000 0.0000 0.0000  3 Ru 2.82, 3 As 3.13
As: 0.3333 0.6667 0.5934  3 Ru 2.44
Ru: 0.6667 0.3333 0.3411  3 As 2.44


Record 6
First-principles (PBE-GGA) data for a relaxed InAsRu crystal, as listed in the Alexandria database.

Properties
Energy relative to the elements, kcal/mol of atoms: 2.806
SG: No. 216
Total DFT energy (no corrections), eV per atom: -5.433
Fermi-level density of states, states/eV/atom: 0.963

Cell lengths 4.3822, 4.3822, 4.3822 Å; angles 60.00, 60.00, 60.00 degrees
With the nearest neighbours (Å) after each atom.
Fractional coordinates of all 3 atoms:
In: 0.0000 0.0000 0.0000  4 Ru 2.68
As: 0.5000 0.5000 0.5000  4 Ru 2.68
Ru: 0.7500 0.7500 0.7500  4 As 2.68, 4 In 2.68


Record 7
First-principles (PBE-GGA) data for a relaxed InAs2Ru crystal, as listed in the Alexandria database.

Properties
Energy relative to the elements, kcal/mol of atoms: 3.242
SG: No. 10
Total DFT energy (no corrections), eV per atom: -5.188
Fermi-level density of states, states/eV/atom: 0.680

Cell lengths 3.6532, 4.4768, 5.0620 Å; angles 90.00, 104.05, 90.00 degrees
With the nearest neighbours (Å) after each atom.
Fractional coordinates of all 4 atoms:
In: 0.0000 0.0000 0.0000  2 Ru 2.74
As: 0.3059 0.5000 0.6770  2 As 2.50-2.54, 2 Ru 2.57
As: 0.6941 0.5000 0.3230  2 As 2.50-2.54, 2 Ru 2.57
Ru: 0.5000 0.0000 0.5000  4 As 2.57, 2 In 2.74


Record 8
First-principles (PBE-GGA) data for a relaxed InAs2Ru crystal, as listed in the Alexandria database.

Properties
Energy relative to the elements, kcal/mol of atoms: -1.259
SG: No. 8
Total DFT energy (no corrections), eV per atom: -5.383
Fermi-level density of states, states/eV/atom: 0.441

Cell lengths 4.5607, 4.5607, 6.4191 Å; angles 107.94, 107.94, 40.48 degrees
With the nearest neighbours (Å) after each atom.
Fractional coordinates of all 4 atoms:
In: 0.0000 0.0000 0.0000  4 As 2.81-3.03, 2 Ru 3.00
As: 0.6626 0.6626 0.6478  3 Ru 2.45-2.47
As: 0.7953 0.7953 0.2647  2 Ru 2.49
Ru: 0.3634 0.3634 0.5829  5 As 2.45-2.49


Record 9
First-principles (PBE-GGA) data for a relaxed InAsRu2 crystal, as listed in the Alexandria database.

Properties
Energy relative to the elements, kcal/mol of atoms: 1.843
Energy above the most stable polymorph in this dataset, eV/atom: 0.136
SG: No. 225
Total DFT energy (no corrections), eV per atom: -6.405
Fermi-level density of states, states/eV/atom: 0.302

Cell lengths 4.4627, 4.4627, 4.4627 Å; angles 60.00, 60.00, 60.00 degrees
With the nearest neighbours (Å) after each atom.
Fractional coordinates of all 4 atoms:
In: 0.0000 0.0000 0.0000  8 Ru 2.73
As: 0.5000 0.5000 0.5000  8 Ru 2.73
Ru: 0.2500 0.2500 0.2500  4 In 2.73, 4 As 2.73
Ru: 0.7500 0.7500 0.7500  4 In 2.73, 4 As 2.73


Record 10
First-principles (PBE-GGA) data for a relaxed InAs2Ru crystal, as listed in the Alexandria database.

Properties
Energy relative to the elements, kcal/mol of atoms: -0.113
SG: No. 166
Total DFT energy (no corrections), eV per atom: -5.333
Fermi-level density of states, states/eV/atom: 0.726

Cell lengths 9.3131, 9.3131, 9.3131 Å; angles 19.47, 19.47, 19.47 degrees
With the nearest neighbours (Å) after each atom.
Fractional coordinates of all 4 atoms:
In: 0.0000 0.0000 0.0000  6 In 3.15, 6 As 3.32
As: 0.2319 0.2319 0.2319  3 Ru 2.55
As: 0.7681 0.7681 0.7681  3 Ru 2.55
Ru: 0.5000 0.5000 0.5000  6 As 2.55


Record 11
First-principles (PBE-GGA) data for a relaxed In4AsRu crystal, as listed in the Alexandria database.

Properties
Energy relative to the elements, kcal/mol of atoms: 16.808
SG: No. 216
Total DFT energy (no corrections), eV per atom: -3.418
Fermi-level density of states, states/eV/atom: 0.723

Cell lengths 5.8316, 5.8316, 5.8316 Å; angles 60.00, 60.00, 60.00 degrees
With the nearest neighbours (Å) after each atom.
Fractional coordinates of all 6 atoms:
In: 0.1247 0.1247 0.1247  6 In 2.91-2.92
In: 0.1247 0.1247 0.6258  6 In 2.91-2.92
In: 0.1247 0.6258 0.1247  6 In 2.91-2.92
In: 0.6258 0.1247 0.1247  6 In 2.91-2.92
As: 0.5000 0.5000 0.5000  12 In 3.42, 4 Ru 3.57
Ru: 0.7500 0.7500 0.7500  12 In 3.42, 4 As 3.57


Record 12
First-principles (PBE-GGA) data for a relaxed InAsRu2 crystal, as listed in the Alexandria database.

Properties
Energy relative to the elements, kcal/mol of atoms: 10.088
Energy above the most stable polymorph in this dataset, eV/atom: 0.493
SG: No. 216
Total DFT energy (no corrections), eV per atom: -6.047
Fermi-level density of states, states/eV/atom: 0.820

Cell lengths 4.5512, 4.5512, 4.5512 Å; angles 60.00, 60.00, 60.00 degrees
With the nearest neighbours (Å) after each atom.
Fractional coordinates of all 4 atoms:
In: 0.0000 0.0000 0.0000  4 As 2.79, 4 Ru 2.79
As: 0.2500 0.2500 0.2500  4 In 2.79, 4 Ru 2.79
Ru: 0.5000 0.5000 0.5000  4 Ru 2.79, 4 As 2.79
Ru: 0.7500 0.7500 0.7500  4 Ru 2.79, 4 In 2.79